(1)
Here is crystalline Nd2YTm4 at its relaxed geometry from Alexandria. Energies are from PBE.

Output
calculated volume: 920.76 Å³/cell
excess energy over the best structure of this formula in the dataset: 193 meV/atom
energy of formation from the pure elements: 0.27 eV per atom

```
data_Nd2YTm4
_cell_length_a 9.722
_cell_length_b 9.722
_cell_length_c 9.742
_cell_angle_alpha 90.00
_cell_angle_beta 90.00
_cell_angle_gamma 90.00
_symmetry_space_group_name_H-M 'I -4 2 d'
_symmetry_Int_Tables_number 122
_symmetry_space_group_name_Hall 'I -4 2bw'
loop_
_atom_site_label
_atom_site_type_symbol
_atom_site_fract_x
_atom_site_fract_y
_atom_site_fract_z
Nd1 Nd 0.129 0.750 0.125
Y1 Y 0.000 0.000 0.500
Tm1 Tm 0.082 0.667 0.456
```

(2)
Here is crystalline Nd12Y5Tm2 at its relaxed geometry from Alexandria. Energies are from PBE.

Output
calculated volume: 1307.29 Å³/cell
excess energy over the best structure of this formula in the dataset: 0 meV/atom
energy of formation from the pure elements: 0.11 eV per atom

```
data_Nd12Y5Tm2
_cell_length_a 16.038
_cell_length_b 9.271
_cell_length_c 8.799
_cell_angle_alpha 90.00
_cell_angle_beta 92.29
_cell_angle_gamma 90.00
_symmetry_space_group_name_H-M 'C 1 2/m 1'
_symmetry_Int_Tables_number 12
loop_
_symmetry_equiv_pos_as_xyz
'x,y,z'
'-x,-y,-z'
'-x,y,-z'
'x,-y,z'
'x+1/2,y+1/2,z'
'-x+1/2,-y+1/2,-z'
'-x+1/2,y+1/2,-z'
'x+1/2,-y+1/2,z'
loop_
_atom_site_label
_atom_site_type_symbol
_atom_site_fract_x
_atom_site_fract_y
_atom_site_fract_z
Nd1 Nd 0.060 0.000 0.344
Nd2 Nd 0.081 0.500 0.885
Nd3 Nd 0.129 0.197 0.682
Nd4 Nd 0.151 0.317 0.237
Y1 Y 0.000 0.500 0.500
Y2 Y 0.203 0.000 0.029
Y3 Y 0.232 0.500 0.566
Tm1 Tm 0.000 0.171 0.000
```

(3)
Here is crystalline Nd6Y2Tm at its relaxed geometry from Alexandria. Energies are from PBE.

Output
calculated volume: 616.34 Å³/cell
excess energy over the best structure of this formula in the dataset: 0 meV/atom
energy of formation from the pure elements: 0.12 eV per atom

```
data_Nd6Y2Tm
_cell_length_a 9.437
_cell_length_b 17.734
_cell_length_c 3.683
_cell_angle_alpha 90.00
_cell_angle_beta 90.00
_cell_angle_gamma 90.00
_symmetry_space_group_name_H-M 'C m m m'
_symmetry_Int_Tables_number 65
_symmetry_space_group_name_Hall '-C 2 2'
loop_
_atom_site_label
_atom_site_type_symbol
_atom_site_fract_x
_atom_site_fract_y
_atom_site_fract_z
Nd1 Nd 0.175 0.165 0.000
Nd2 Nd 0.186 0.000 0.500
Y1 Y 0.000 0.325 0.500
Tm1 Tm 0.000 0.500 0.000
```

(4)
Here is crystalline Nd8YTm6 at its relaxed geometry from Alexandria. Energies are from PBE.

Output
calculated volume: 1498.12 Å³/cell
energy of formation from the pure elements: 0.18 eV per atom

```
data_Nd8YTm6
_cell_length_a 9.8194
_cell_length_b 9.8194
_cell_length_c 17.9408
_cell_angle_alpha 90.00
_cell_angle_beta 90.00
_cell_angle_gamma 120.00
_symmetry_space_group_name_H-M 'R -3'
_symmetry_Int_Tables_number 148
_symmetry_space_group_name_Hall '-R 3'
loop_
_atom_site_label
_atom_site_type_symbol
_atom_site_fract_x
_atom_site_fract_y
_atom_site_fract_z
Nd1 Nd 0.0000 0.0000 0.0876
Nd2 Nd 0.0531 0.2382 0.6726
Y1 Y 0.0000 0.0000 0.5000
Tm1 Tm 0.0356 0.2885 0.1778
```

(5)
Here is crystalline Nd5Y5Tm2 at its relaxed geometry from Alexandria. Energies are from PBE.

Output
calculated volume: 793.53 Å³/cell
energy of formation from the pure elements: 0.02 eV per atom

```
data_Nd5Y5Tm2
_cell_length_a 15.305
_cell_length_b 5.097
_cell_length_c 11.378
_cell_angle_alpha 90.00
_cell_angle_beta 116.61
_cell_angle_gamma 90.00
_symmetry_space_group_name_H-M 'C 1 2/m 1'
_symmetry_Int_Tables_number 12
loop_
_symmetry_equiv_pos_as_xyz
'x,y,z'
'-x,-y,-z'
'-x,y,-z'
'x,-y,z'
'x+1/2,y+1/2,z'
'-x+1/2,-y+1/2,-z'
'-x+1/2,y+1/2,-z'
'x+1/2,-y+1/2,z'
loop_
_atom_site_label
_atom_site_type_symbol
_atom_site_fract_x
_atom_site_fract_y
_atom_site_fract_z
Nd1 Nd 0.000 0.000 0.000
Nd2 Nd 0.082 0.000 0.747
Nd3 Nd 0.250 0.000 0.253
Y1 Y 0.000 0.500 0.500
Y2 Y 0.085 0.500 0.253
Y3 Y 0.167 0.500 0.000
Tm1 Tm 0.167 0.000 0.500
```

(6)
Here is crystalline Nd3Y6Tm at its relaxed geometry from Alexandria. Energies are from PBE.

Output
calculated volume: 1333.64 Å³/cell
excess energy over the best structure of this formula in the dataset: 0 meV/atom
energy of formation from the pure elements: 0.14 eV per atom

```
data_Nd3Y6Tm
_cell_length_a 10.955
_cell_length_b 18.895
_cell_length_c 6.442
_cell_angle_alpha 90.00
_cell_angle_beta 90.00
_cell_angle_gamma 90.00
_symmetry_space_group_name_H-M 'C m c 21'
_symmetry_Int_Tables_number 36
loop_
_symmetry_equiv_pos_as_xyz
'x,y,z'
'-x,-y,z+1/2'
'-x,y,z'
'x,-y,z+1/2'
'x+1/2,y+1/2,z'
'-x+1/2,-y+1/2,z+1/2'
'-x+1/2,y+1/2,z'
'x+1/2,-y+1/2,z+1/2'
loop_
_atom_site_label
_atom_site_type_symbol
_atom_site_fract_x
_atom_site_fract_y
_atom_site_fract_z
Nd1 Nd 0.000 0.114 0.000
Nd2 Nd 0.177 0.386 0.392
Y1 Y 0.000 0.232 0.586
Y2 Y 0.000 0.460 0.794
Y3 Y 0.168 0.044 0.484
Y4 Y 0.237 0.209 0.300
Tm1 Tm 0.000 0.307 0.065
```

(7)
Here is crystalline NdY7Tm4 at its relaxed geometry from Alexandria. Energies are from PBE.

Output
calculated volume: 789.81 Å³/cell
excess energy over the best structure of this formula in the dataset: 58 meV/atom
energy of formation from the pure elements: 0.29 eV per atom

```
data_NdY7Tm4
_cell_length_a 12.058
_cell_length_b 5.856
_cell_length_c 12.609
_cell_angle_alpha 90.00
_cell_angle_beta 117.50
_cell_angle_gamma 90.00
_symmetry_space_group_name_H-M 'C 1 2/m 1'
_symmetry_Int_Tables_number 12
loop_
_symmetry_equiv_pos_as_xyz
'x,y,z'
'-x,-y,-z'
'-x,y,-z'
'x,-y,z'
'x+1/2,y+1/2,z'
'-x+1/2,-y+1/2,-z'
'-x+1/2,y+1/2,-z'
'x+1/2,-y+1/2,z'
loop_
_atom_site_label
_atom_site_type_symbol
_atom_site_fract_x
_atom_site_fract_y
_atom_site_fract_z
Nd1 Nd 0.000 0.000 0.000
Y1 Y 0.000 0.500 0.000
Y2 Y 0.057 0.000 0.330
Y3 Y 0.135 0.500 0.505
Y4 Y 0.211 0.000 0.922
Tm1 Tm 0.134 0.500 0.774
Tm2 Tm 0.248 0.500 0.315
```

(8)
Here is crystalline Nd12Y2Tm at its relaxed geometry from Alexandria. Energies are from PBE.

Output
calculated volume: 2108.20 Å³/cell
energy of formation from the pure elements: 0.15 eV per atom

```
data_Nd12Y2Tm
_cell_length_a 7.233
_cell_length_b 11.662
_cell_length_c 24.994
_cell_angle_alpha 90.00
_cell_angle_beta 90.00
_cell_angle_gamma 90.00
_symmetry_space_group_name_H-M 'C m m e'
_symmetry_Int_Tables_number 67
_symmetry_space_group_name_Hall '-C 2a 2'
loop_
_atom_site_label
_atom_site_type_symbol
_atom_site_fract_x
_atom_site_fract_y
_atom_site_fract_z
Nd1 Nd 0.000 0.002 0.073
Nd2 Nd 0.000 0.024 0.560
Nd3 Nd 0.231 0.250 0.414
Nd4 Nd 0.248 0.250 0.871
Nd5 Nd 0.250 0.000 0.198
Nd6 Nd 0.250 0.000 0.324
Y1 Y 0.000 0.250 0.266
Y2 Y 0.000 0.250 0.730
Tm1 Tm 0.000 0.250 0.999
```

(9)
Here is crystalline Nd7Y16Tm6 at its relaxed geometry from Alexandria. Energies are from PBE.

Output
calculated volume: 3849.35 Å³/cell
energy of formation from the pure elements: 0.18 eV per atom

```
data_Nd7Y16Tm6
_cell_length_a 15.672
_cell_length_b 15.672
_cell_length_c 15.672
_cell_angle_alpha 90.00
_cell_angle_beta 90.00
_cell_angle_gamma 90.00
_symmetry_space_group_name_H-M 'F m -3 m'
_symmetry_Int_Tables_number 225
_symmetry_space_group_name_Hall '-F 4 2 3'
loop_
_atom_site_label
_atom_site_type_symbol
_atom_site_fract_x
_atom_site_fract_y
_atom_site_fract_z
Nd1 Nd 0.000 0.000 0.000
Nd2 Nd 0.000 0.250 0.250
Y1 Y 0.113 0.113 0.387
Y2 Y 0.150 0.150 0.150
Tm1 Tm 0.000 0.000 0.225
```

(10)
Here is crystalline Nd4YTm5 at its relaxed geometry from Alexandria. Energies are from PBE.

Output
calculated volume: 337.86 Å³/cell
excess energy over the best structure of this formula in the dataset: 174 meV/atom
energy of formation from the pure elements: 0.20 eV per atom

```
data_Nd4YTm5
_cell_length_a 3.512
_cell_length_b 8.708
_cell_length_c 11.276
_cell_angle_alpha 89.78
_cell_angle_beta 90.00
_cell_angle_gamma 78.44
_symmetry_space_group_name_H-M 'P -1'
_symmetry_Int_Tables_number 2
loop_
_symmetry_equiv_pos_as_xyz
'x,y,z'
'-x,-y,-z'
loop_
_atom_site_label
_atom_site_type_symbol
_atom_site_fract_x
_atom_site_fract_y
_atom_site_fract_z
Nd1 Nd 0.033 0.434 0.248
Nd2 Nd 0.343 0.817 0.250
Y1 Y 0.500 0.500 0.500
Tm1 Tm 0.172 0.154 0.047
Tm2 Tm 0.173 0.152 0.450
Tm3 Tm 0.500 0.500 0.000
```

(11)
Here is crystalline Nd2YTm7 at its relaxed geometry from Alexandria. Energies are from PBE.

Output
calculated volume: 644.37 Å³/cell
excess energy over the best structure of this formula in the dataset: 130 meV/atom
energy of formation from the pure elements: 0.16 eV per atom

```
data_Nd2YTm7
_cell_length_a 6.433
_cell_length_b 28.609
_cell_length_c 3.501
_cell_angle_alpha 90.00
_cell_angle_beta 90.00
_cell_angle_gamma 90.00
_symmetry_space_group_name_H-M 'C m m m'
_symmetry_Int_Tables_number 65
_symmetry_space_group_name_Hall '-C 2 2'
loop_
_atom_site_label
_atom_site_type_symbol
_atom_site_fract_x
_atom_site_fract_y
_atom_site_fract_z
Nd1 Nd 0.000 0.209 0.000
Y1 Y 0.000 0.500 0.500
Tm1 Tm 0.000 0.000 0.000
Tm2 Tm 0.000 0.316 0.500
Tm3 Tm 0.246 0.402 0.000
```

(12)
Here is crystalline NdY3Tm7 at its relaxed geometry from Alexandria. Energies are from PBE.

Output
calculated volume: 363.64 Å³/cell
excess energy over the best structure of this formula in the dataset: 35 meV/atom
energy of formation from the pure elements: 0.20 eV per atom

```
data_NdY3Tm7
_cell_length_a 6.9924
_cell_length_b 6.9924
_cell_length_c 8.5880
_cell_angle_alpha 90.00
_cell_angle_beta 90.00
_cell_angle_gamma 120.00
_symmetry_space_group_name_H-M 'P 3 m 1'
_symmetry_Int_Tables_number 156
loop_
_symmetry_equiv_pos_as_xyz
'x,y,z'
'-y,x-y,z'
'-x+y,-x,z'
'-y,-x,z'
'-x+y,y,z'
'x,x-y,z'
loop_
_atom_site_label
_atom_site_type_symbol
_atom_site_fract_x
_atom_site_fract_y
_atom_site_fract_z
Nd1 Nd 0.0000 0.0000 0.0000
Y1 Y 0.3345 0.1673 0.6607
Tm1 Tm 0.1658 0.3315 0.3267
Tm2 Tm 0.5012 0.0024 0.0002
Tm3 Tm 0.6667 0.3333 0.3260
```